# 1
DFT (PBE) results for an optimized crystal structure of ErLuCuSe3.

a b c (Å): 6.8280 6.8280 10.2817
angles (deg): 90.00 90.00 147.19
Positions (direct):
1 Er 0.2264 0.7736 0.7500
2 Er 0.7736 0.2264 0.2500
3 Lu 0.0000 0.0000 0.0000
4 Lu 0.0000 0.0000 0.5000
5 Cu 0.4766 0.5234 0.2500
6 Cu 0.5234 0.4766 0.7500
7 Se 0.0998 0.9002 0.2500
8 Se 0.3541 0.6459 0.0695
9 Se 0.3541 0.6459 0.4305
10 Se 0.6459 0.3541 0.5695
11 Se 0.6459 0.3541 0.9305
12 Se 0.9002 0.0998 0.7500

Output
ρ ... 8.218 g/cm3
Total DFT energy (no corrections) ... -62.34 eV per cell
Total magnetic moment ... 0.001 μB per atom



# 2
DFT (PBE) results for an optimized crystal structure of Er2LuCu4Si4.

a b c (Å): 7.7916 7.7916 7.7916
angles (deg): 149.49 130.79 59.02
Positions (direct):
1 Er 0.1290 0.1290 0.0000
2 Er 0.8710 0.8710 0.0000
3 Lu 0.5000 0.0000 0.5000
4 Cu 0.1393 0.3308 0.8085
5 Cu 0.4776 0.6692 0.8085
6 Cu 0.5224 0.3308 0.1915
7 Cu 0.8607 0.6692 0.1915
8 Si 0.1870 0.5000 0.6870
9 Si 0.2842 0.7842 0.5000
10 Si 0.7158 0.2158 0.5000
11 Si 0.8130 0.5000 0.3130

Output
ρ ... 8.063 g/cm3
Total DFT energy (no corrections) ... -57.16 eV per cell
Total magnetic moment ... 0.000 μB per atom



# 3
DFT (PBE) results for an optimized crystal structure of ErLuCu2Si2.

a b c (Å): 4.1052 4.1052 7.3141
angles (deg): 90.00 90.00 120.00
Positions (direct):
1 Er 0.0000 0.0000 0.0000
2 Lu 0.0000 0.0000 0.5000
3 Cu 0.3333 0.6667 0.2524
4 Cu 0.6667 0.3333 0.7476
5 Si 0.3333 0.6667 0.7479
6 Si 0.6667 0.3333 0.2521

Output
ρ ... 8.174 g/cm3
Total DFT energy (no corrections) ... -31.32 eV per cell
Total magnetic moment ... 0.001 μB per atom



# 4
DFT (PBE) results for an optimized crystal structure of Er2LuCu4Sn4.

a b c (Å): 8.3848 8.3848 8.3848
angles (deg): 149.33 131.39 58.58
Positions (direct):
1 Er 0.1307 0.1307 0.0000
2 Er 0.8693 0.8693 0.0000
3 Lu 0.5000 0.0000 0.5000
4 Cu 0.1390 0.3289 0.8100
5 Cu 0.4811 0.6711 0.8100
6 Cu 0.5189 0.3289 0.1900
7 Cu 0.8610 0.6711 0.1900
8 Sn 0.2051 0.5000 0.7051
9 Sn 0.2846 0.7846 0.5000
10 Sn 0.7154 0.2154 0.5000
11 Sn 0.7949 0.5000 0.2949

Output
ρ ... 9.189 g/cm3
Total DFT energy (no corrections) ... -49.78 eV per cell
Total magnetic moment ... 0.000 μB per atom



# 5
DFT (PBE) results for an optimized crystal structure of Er3Lu4Cu2Te2.

a b c (Å): 9.1624 9.1624 9.1624
angles (deg): 155.37 68.02 117.73
Positions (direct):
1 Er 0.0000 0.0000 0.0000
2 Er 0.2848 0.4161 0.8686
3 Er 0.5475 0.4161 0.1314
4 Lu 0.3063 0.6208 0.6855
5 Lu 0.6203 0.2647 0.3556
6 Lu 0.9091 0.2647 0.6444
7 Lu 0.9353 0.6208 0.3145
8 Cu 0.1605 0.9265 0.2340
9 Cu 0.6925 0.9265 0.7660
10 Te 0.2639 0.7639 0.5000
11 Te 0.6630 0.6630 0.0000

Output
ρ ... 9.351 g/cm3
Total DFT energy (no corrections) ... -51.75 eV per cell
Total magnetic moment ... 0.004 μB per atom



# 6
DFT (PBE) results for an optimized crystal structure of Er2Tm3Lu2Cu2Te2.

a b c (Å): 9.1783 9.1783 9.1783
angles (deg): 155.26 68.03 117.77
Positions (direct):
1 Er 0.1444 0.0000 0.1444
2 Er 0.8556 0.0000 0.8556
3 Tm 0.2168 0.8484 0.3685
4 Tm 0.4799 0.8484 0.6315
5 Tm 0.7634 0.2634 0.5000
6 Lu 0.4579 0.6428 0.8151
7 Lu 0.8277 0.6428 0.1849
8 Cu 0.0702 0.3343 0.7359
9 Cu 0.5984 0.3343 0.2641
10 Te 0.1028 0.6028 0.5000
11 Te 0.4986 0.4986 0.0000

Output
ρ ... 9.207 g/cm3
Total DFT energy (no corrections) ... -51.58 eV per cell
Total magnetic moment ... 0.008 μB per atom



# 7
DFT (PBE) results for an optimized crystal structure of Er4TmLu2Cu2Te2.

a b c (Å): 9.1871 9.1871 9.1871
angles (deg): 155.27 68.07 117.72
Positions (direct):
1 Er 0.1312 0.0000 0.1312
2 Er 0.5073 0.1515 0.3558
3 Er 0.7957 0.1515 0.6442
4 Er 0.8688 0.0000 0.8688
5 Tm 0.4154 0.4154 0.0000
6 Lu 0.1099 0.7948 0.3151
7 Lu 0.4798 0.7948 0.6849
8 Cu 0.2511 0.4863 0.7648
9 Cu 0.7215 0.4863 0.2352
10 Te 0.1516 0.6516 0.5000
11 Te 0.7536 0.7536 0.0000

Output
ρ ... 9.162 g/cm3
Total DFT energy (no corrections) ... -51.77 eV per cell
Total magnetic moment ... 0.006 μB per atom



# 8
DFT (PBE) results for an optimized crystal structure of ErTm2Lu4Cu2Te2.

a b c (Å): 9.1474 9.1474 9.1474
angles (deg): 155.34 68.03 117.73
Positions (direct):
1 Er 0.0000 0.0000 0.0000
2 Tm 0.4522 0.5840 0.8683
3 Tm 0.7157 0.5840 0.1317
4 Lu 0.0642 0.3788 0.6854
5 Lu 0.0910 0.7355 0.3555
6 Lu 0.3800 0.7355 0.6445
7 Lu 0.6934 0.3788 0.3146
8 Cu 0.3072 0.0726 0.2346
9 Cu 0.8380 0.0726 0.7654
10 Te 0.3380 0.3380 0.0000
11 Te 0.7349 0.2349 0.5000

Output
ρ ... 9.406 g/cm3
Total DFT energy (no corrections) ... -51.56 eV per cell
Total magnetic moment ... 0.003 μB per atom



# 9
DFT (PBE) results for an optimized crystal structure of Y3Er2Lu2Cu2Te2.

a b c (Å): 9.2402 9.2402 9.2402
angles (deg): 155.23 67.81 118.01
Positions (direct):
1 Y 0.0000 0.0000 0.0000
2 Y 0.6147 0.2595 0.3552
3 Y 0.9044 0.2595 0.6448
4 Er 0.2825 0.4130 0.8695
5 Er 0.5435 0.4130 0.1305
6 Lu 0.3033 0.6183 0.6850
7 Lu 0.9332 0.6183 0.3150
8 Cu 0.1678 0.9298 0.2381
9 Cu 0.6917 0.9298 0.7619
10 Te 0.2629 0.7629 0.5000
11 Te 0.6600 0.6600 0.0000

Output
ρ ... 7.655 g/cm3
Total DFT energy (no corrections) ... -57.81 eV per cell
Total magnetic moment ... 0.008 μB per atom



# 10
DFT (PBE) results for an optimized crystal structure of Er2Mg3Cu2.

a b c (Å): 10.5746 10.5746 3.5495
angles (deg): 90.00 90.00 157.59
Positions (direct):
1 Er 0.1733 0.8267 0.0000
2 Er 0.8267 0.1733 0.0000
3 Mg 0.0000 0.0000 0.0000
4 Mg 0.4220 0.5780 0.5000
5 Mg 0.5780 0.4220 0.5000
6 Cu 0.2861 0.7139 0.5000
7 Cu 0.7139 0.2861 0.5000

Output
ρ ... 5.866 g/cm3
Total DFT energy (no corrections) ... -22.36 eV per cell
Total magnetic moment ... 0.007 μB per atom



# 11
DFT (PBE) results for an optimized crystal structure of Er2TmMg3CuPt2.

a b c (Å): 3.9559 7.3886 7.3886
angles (deg): 119.92 90.00 90.00
Positions (direct):
1 Er 0.0000 0.2075 0.7925
2 Er 0.0000 0.7925 0.2075
3 Tm 0.0000 0.6225 0.6225
4 Mg 0.5000 0.2078 0.4540
5 Mg 0.5000 0.4540 0.2078
6 Mg 0.5000 0.9609 0.9609
7 Cu 0.0000 0.2080 0.2080
8 Pt 0.5000 0.5411 0.8734
9 Pt 0.5000 0.8734 0.5411

Output
ρ ... 9.139 g/cm3
Total DFT energy (no corrections) ... -40.65 eV per cell
Total magnetic moment ... 0.002 μB per atom



# 12
DFT (PBE) results for an optimized crystal structure of ErTm2Mg3CuPt2.

a b c (Å): 3.9184 7.4264 7.4264
angles (deg): 120.09 90.00 90.00
Positions (direct):
1 Er 0.0000 0.0000 0.0000
2 Tm 0.0000 0.4163 0.8322
3 Tm 0.0000 0.8322 0.4163
4 Mg 0.5000 0.1703 0.4165
5 Mg 0.5000 0.4165 0.1703
6 Mg 0.5000 0.6620 0.6620
7 Cu 0.0000 0.4167 0.4167
8 Pt 0.5000 0.0830 0.7486
9 Pt 0.5000 0.7486 0.0830

Output
ρ ... 9.162 g/cm3
Total DFT energy (no corrections) ... -40.57 eV per cell
Total magnetic moment ... 0.002 μB per atom



# 13
DFT (PBE) results for an optimized crystal structure of ErMgCuTeS2.

a b c (Å): 6.8327 6.8327 10.7110
angles (deg): 90.00 90.00 147.79
Positions (direct):
1 Er 0.0000 0.0000 0.0000
2 Er 0.0000 0.0000 0.5000
3 Mg 0.1939 0.8061 0.7500
4 Mg 0.8061 0.1939 0.2500
5 Cu 0.4829 0.5171 0.2500
6 Cu 0.5171 0.4829 0.7500
7 Te 0.1213 0.8787 0.2500
8 Te 0.8787 0.1213 0.7500
9 S 0.3693 0.6307 0.0856
10 S 0.3693 0.6307 0.4144
11 S 0.6307 0.3693 0.5856
12 S 0.6307 0.3693 0.9144

Output
ρ ... 5.568 g/cm3
Total DFT energy (no corrections) ... -55.93 eV per cell
Total magnetic moment ... 0.001 μB per atom



# 14
DFT (PBE) results for an optimized crystal structure of ErMgCuTe2Se.

a b c (Å): 7.1264 7.1264 10.6758
angles (deg): 90.00 90.00 147.09
Positions (direct):
1 Er 0.0000 0.0000 0.0000
2 Er 0.0000 0.0000 0.5000
3 Mg 0.2577 0.7423 0.7500
4 Mg 0.7423 0.2577 0.2500
5 Cu 0.4822 0.5178 0.2500
6 Cu 0.5178 0.4822 0.7500
7 Te 0.3473 0.6527 0.0755
8 Te 0.3473 0.6527 0.4245
9 Te 0.6527 0.3473 0.5755
10 Te 0.6527 0.3473 0.9245
11 Se 0.0921 0.9079 0.2500
12 Se 0.9079 0.0921 0.7500

Output
ρ ... 6.643 g/cm3
Total DFT energy (no corrections) ... -49.54 eV per cell
Total magnetic moment ... 0.000 μB per atom



# 15
DFT (PBE) results for an optimized crystal structure of ErCuMo.

a b c (Å): 4.5387 4.5387 4.5387
angles (deg): 60.00 60.00 60.00
Positions (direct):
1 Er 0.0000 0.0000 0.0000
2 Cu 0.7500 0.7500 0.7500
3 Mo 0.2500 0.2500 0.2500

Output
ΔE to the lowest computed polymorph ... 246 meV per atom
ρ ... 8.207 g/cm3
Energy relative to the elements ... 1.2478 eV per atom
Total DFT energy (no corrections) ... -15.38 eV per cell
Total magnetic moment ... 0.884 μB per atom



# 16
DFT (PBE) results for an optimized crystal structure of ErCuMo.

a b c (Å): 4.4987 4.4987 4.4987
angles (deg): 60.00 60.00 60.00
Positions (direct):
1 Er 0.0000 0.0000 0.0000
2 Cu 0.5000 0.5000 0.5000
3 Mo 0.7500 0.7500 0.7500

Output
ΔE to the lowest computed polymorph ... 0 meV per atom
ρ ... 8.428 g/cm3
Energy relative to the elements ... 1.0019 eV per atom
Total DFT energy (no corrections) ... -16.12 eV per cell
Total magnetic moment ... 0.782 μB per atom



# 17
DFT (PBE) results for an optimized crystal structure of ErCu2N4.

a b c (Å): 5.7834 5.7834 6.0224
angles (deg): 116.62 116.62 86.98
Positions (direct):
1 Er 0.1602 0.8398 0.7500
2 Er 0.8398 0.1602 0.2500
3 Cu 0.0000 0.5000 0.0000
4 Cu 0.5000 0.0000 0.5000
5 Cu 0.5000 0.5000 0.0000
6 Cu 0.5000 0.5000 0.5000
7 N 0.1462 0.4045 0.7251
8 N 0.1760 0.2485 0.1764
9 N 0.2485 0.1760 0.6764
10 N 0.4045 0.1462 0.2251
11 N 0.5955 0.8538 0.7749
12 N 0.7515 0.8240 0.3236
13 N 0.8240 0.7515 0.8236
14 N 0.8538 0.5955 0.2749

Output
ρ ... 7.355 g/cm3
Total DFT energy (no corrections) ... -89.00 eV per cell
Total magnetic moment ... 0.000 μB per atom



# 18
DFT (PBE) results for an optimized crystal structure of ErNbCu.

a b c (Å): 4.4869 4.4869 4.4869
angles (deg): 60.00 60.00 60.00
Positions (direct):
1 Er 0.0000 0.0000 0.0000
2 Nb 0.5000 0.5000 0.5000
3 Cu 0.2500 0.2500 0.2500

Output
ΔE to the lowest computed polymorph ... 0 meV per atom
ρ ... 8.416 g/cm3
Energy relative to the elements ... 0.5171 eV per atom
Total DFT energy (no corrections) ... -16.82 eV per cell
Total magnetic moment ... 0.234 μB per atom



# 19
DFT (PBE) results for an optimized crystal structure of ErNbCu.

a b c (Å): 4.6033 4.6033 4.6033
angles (deg): 60.00 60.00 60.00
Positions (direct):
1 Er 0.0000 0.0000 0.0000
2 Nb 0.2500 0.2500 0.2500
3 Cu 0.7500 0.7500 0.7500

Output
ΔE to the lowest computed polymorph ... 726 meV per atom
ρ ... 7.793 g/cm3
Energy relative to the elements ... 1.2433 eV per atom
Total DFT energy (no corrections) ... -14.64 eV per cell
Total magnetic moment ... 0.814 μB per atom



# 20
DFT (PBE) results for an optimized crystal structure of Nd3ErCu4.

a b c (Å): 5.5364 4.5241 7.2913
angles (deg): 90.00 91.29 90.00
Positions (direct):
1 Nd 0.0000 0.0000 0.0000
2 Nd 0.2409 0.0000 0.4950
3 Nd 0.5021 0.5000 0.8590
4 Er 0.7394 0.5000 0.3570
5 Cu 0.2496 0.5000 0.2155
6 Cu 0.5036 0.0000 0.1535
7 Cu 0.7498 0.0000 0.6326
8 Cu 0.9877 0.5000 0.7035

Output
ρ ... 7.768 g/cm3
Energy relative to the elements ... -0.2051 eV per atom
Total DFT energy (no corrections) ... -35.36 eV per cell
Total magnetic moment ... 0.002 μB per atom



# 21
DFT (PBE) results for an optimized crystal structure of NdErCu2.

a b c (Å): 4.5024 5.4630 7.1729
angles (deg): 90.00 90.00 90.00
Positions (direct):
1 Nd 0.0000 0.1200 0.0000
2 Nd 0.0000 0.8800 0.5000
3 Er 0.5000 0.3867 0.3609
4 Er 0.5000 0.6133 0.8609
5 Cu 0.0000 0.3827 0.6433
6 Cu 0.0000 0.6173 0.1433
7 Cu 0.5000 0.1314 0.7095
8 Cu 0.5000 0.8686 0.2095

Output
ΔE to the lowest computed polymorph ... 5 meV per atom
ρ ... 8.256 g/cm3
Energy relative to the elements ... -0.2222 eV per atom
Total DFT energy (no corrections) ... -35.30 eV per cell
Total magnetic moment ... 0.003 μB per atom



# 22
DFT (PBE) results for an optimized crystal structure of NdErCu2.

a b c (Å): 5.4485 4.4741 7.1695
angles (deg): 90.00 91.51 90.00
Positions (direct):
1 Nd 0.1354 0.2500 0.1849
2 Nd 0.8646 0.7500 0.8151
3 Er 0.3677 0.2500 0.6774
4 Er 0.6323 0.7500 0.3226
5 Cu 0.1318 0.7500 0.4683
6 Cu 0.3789 0.7500 0.9654
7 Cu 0.6211 0.2500 0.0346
8 Cu 0.8682 0.2500 0.5317

Output
ΔE to the lowest computed polymorph ... 4 meV per atom
ρ ... 8.337 g/cm3
Energy relative to the elements ... -0.2225 eV per atom
Total DFT energy (no corrections) ... -35.30 eV per cell
Total magnetic moment ... 0.002 μB per atom



# 23
DFT (PBE) results for an optimized crystal structure of NdErCu2.

a b c (Å): 4.4815 7.1603 5.4085
angles (deg): 90.00 90.00 90.00
Positions (direct):
1 Nd 0.0000 0.0713 0.0000
2 Nd 0.5000 0.9287 0.5000
3 Er 0.0000 0.5682 0.2368
4 Er 0.5000 0.4318 0.7368
5 Cu 0.0000 0.2336 0.4986
6 Cu 0.0000 0.6999 0.7468
7 Cu 0.5000 0.3001 0.2468
8 Cu 0.5000 0.7664 0.9986

Output
ΔE to the lowest computed polymorph ... 0 meV per atom
ρ ... 8.393 g/cm3
Energy relative to the elements ... -0.2269 eV per atom
Total DFT energy (no corrections) ... -35.34 eV per cell
Total magnetic moment ... 0.002 μB per atom



# 24
DFT (PBE) results for an optimized crystal structure of NdErCu2P4.

a b c (Å): 3.7541 3.7541 9.8622
angles (deg): 90.00 90.00 90.00
Positions (direct):
1 Nd 0.0000 0.0000 0.0000
2 Er 0.5000 0.5000 0.5354
3 Cu 0.0000 0.5000 0.2740
4 Cu 0.5000 0.0000 0.2740
5 P 0.0000 0.0000 0.4265
6 P 0.0000 0.5000 0.7609
7 P 0.5000 0.0000 0.7609
8 P 0.5000 0.5000 0.1241

Output
ρ ... 6.720 g/cm3
Total DFT energy (no corrections) ... -45.22 eV per cell
Total magnetic moment ... 0.000 μB per atom